[1]
Below is a relaxed AcAsRuF crystal, with properties calculated at the GGA-PBE level.

As for the space group: No. 129. The value obtained for the volume is 19.4 A^3/atom. Its calculated total energy is -55.22 eV per cell.

Structure (POSCAR):
```
AcAsRuF
1.0
4.254 0.000 0.000
0.000 4.254 0.000
0.000 0.000 8.582
Ac As Ru F
2 2 2 2
direct
0.250 0.250 0.192
0.750 0.750 0.808
0.250 0.250 0.650
0.750 0.750 0.350
0.250 0.750 0.500
0.750 0.250 0.500
0.250 0.750 0.000
0.750 0.250 0.000
```

[2]
Below is a relaxed ZrScCd2 crystal, with properties calculated at the GGA-PBE level.

As for the space group: No. 47. As for the energy relative to the elements: -0.175 eV per atom. For the distance to the lowest polymorph of the same formula, the calculation gives 0 meV/atom. The value obtained for the volume is 21.8 A^3/atom.

Structure (POSCAR):
```
ZrScCd2
1.0
3.174 0.000 0.000
0.000 4.265 0.000
0.000 0.000 6.444
Zr Sc Cd
1 1 2
direct
0.000 0.000 0.000
0.000 0.000 0.500
0.500 0.500 0.252
0.500 0.500 0.748
```

[3]
Below is a relaxed La2Pm5Co4 crystal, with properties calculated at the GGA-PBE level.

As for the space group: No. 12. As for the energy relative to the elements: 0.069 eV per atom. The value obtained for the volume is 27.3 A^3/atom.

Structure (POSCAR):
```
La2Pm5Co4
1.0
6.166 -3.436 0.000
6.166 3.436 0.000
-5.476 0.000 7.088
La Pm Co
2 5 4
direct
0.217 0.217 0.098
0.783 0.783 0.902
0.164 0.680 0.601
0.320 0.836 0.399
0.500 0.500 0.000
0.680 0.164 0.601
0.836 0.320 0.399
0.182 0.182 0.811
0.275 0.275 0.659
0.725 0.725 0.341
0.818 0.818 0.189
```

[4]
Below is a relaxed Sm2TmNbN4 crystal, with properties calculated at the GGA-PBE level.

As for the space group: No. 10. The value obtained for the volume is 13.9 A^3/atom. Its calculated total energy is -68.73 eV per cell.

Structure (POSCAR):
```
Sm2TmNbN4
1.0
5.869 0.000 0.000
0.000 3.385 0.000
-1.930 0.000 5.605
Sm Tm Nb N
2 1 1 4
direct
0.000 0.000 0.000
0.500 0.500 0.000
0.000 0.500 0.500
0.500 0.000 0.500
0.257 0.000 0.724
0.269 0.500 0.279
0.731 0.500 0.721
0.743 0.000 0.276
```

[5]
Below is a relaxed Sr2Ca2In crystal, with properties calculated at the GGA-PBE level.

As for the space group: No. 139. As for the energy relative to the elements: 0.104 eV per atom. For the distance to the lowest polymorph of the same formula, the calculation gives 152 meV/atom. The value obtained for the volume is 43.7 A^3/atom.

Structure (POSCAR):
```
Sr2Ca2In
1.0
4.582 0.000 0.000
0.000 4.582 0.000
0.000 0.000 20.828
Sr Ca In
4 4 2
direct
0.000 0.000 0.089
0.000 0.000 0.911
0.500 0.500 0.411
0.500 0.500 0.589
0.000 0.500 0.250
0.000 0.500 0.750
0.500 0.000 0.250
0.500 0.000 0.750
0.000 0.000 0.500
0.500 0.500 0.000
```

[6]
Below is a relaxed CaMgTc2 crystal, with properties calculated at the GGA-PBE level.

As for the space group: No. 123. As for the energy relative to the elements: 0.467 eV per atom. The value obtained for the volume is 20.0 A^3/atom.

Structure (POSCAR):
```
CaMgTc2
1.0
3.507 0.000 0.000
0.000 3.507 0.000
0.000 0.000 6.503
Ca Mg Tc
1 1 2
direct
0.000 0.000 0.000
0.000 0.000 0.500
0.500 0.500 0.326
0.500 0.500 0.674
```

[7]
Below is a relaxed TlIn2Hg crystal, with properties calculated at the GGA-PBE level.

As for the space group: No. 12. As for the energy relative to the elements: 0.023 eV per atom. The value obtained for the volume is 27.6 A^3/atom.

Structure (POSCAR):
```
TlIn2Hg
1.0
7.034 0.000 0.000
0.000 6.708 0.000
-3.494 0.000 4.684
Tl In Hg
2 4 2
direct
0.000 0.000 0.000
0.500 0.500 0.000
0.000 0.250 0.500
0.000 0.750 0.500
0.500 0.250 0.500
0.500 0.750 0.500
0.000 0.500 0.000
0.500 0.000 0.000
```

[8]
Below is a relaxed HfTiPCl2 crystal, with properties calculated at the GGA-PBE level.

As for the space group: No. 123. For the distance to the lowest polymorph of the same formula, the calculation gives 77 meV/atom. The value obtained for the volume is 23.8 A^3/atom.

Structure (POSCAR):
```
HfTiPCl2
1.0
4.790 0.000 0.000
0.000 4.790 0.000
0.000 0.000 5.179
Hf Ti P Cl
1 1 1 2
direct
0.000 0.000 0.000
0.500 0.500 0.500
0.000 0.000 0.500
0.000 0.500 0.000
0.500 0.000 0.000
```

[9]
Below is a relaxed Mg3AgAu6 crystal, with properties calculated at the GGA-PBE level.

As for the space group: No. 11. As for the energy relative to the elements: -0.418 eV per atom. The value obtained for the volume is 17.9 A^3/atom.

Structure (POSCAR):
```
Mg3AgAu6
1.0
7.843 0.000 0.000
0.000 4.802 0.000
-3.838 0.000 9.521
Mg Ag Au
6 2 12
direct
0.072 0.250 0.223
0.290 0.250 0.017
0.323 0.750 0.381
0.677 0.250 0.619
0.710 0.750 0.983
0.928 0.750 0.777
0.117 0.750 0.572
0.883 0.250 0.428
0.085 0.250 0.724
0.106 0.750 0.076
0.288 0.250 0.521
0.313 0.750 0.870
0.466 0.250 0.318
0.497 0.250 0.828
0.503 0.750 0.172
0.534 0.750 0.682
0.687 0.250 0.130
0.712 0.750 0.479
0.894 0.250 0.924
0.915 0.750 0.276
```

[10]
Below is a relaxed BaMnSbTe2 crystal, with properties calculated at the GGA-PBE level.

As for the space group: No. 123. For the distance to the lowest polymorph of the same formula, the calculation gives 0 meV/atom. The value obtained for the volume is 31.6 A^3/atom.

Structure (POSCAR):
```
BaMnSbTe2
1.0
5.534 0.000 0.000
0.000 5.534 0.000
0.000 0.000 5.153
Ba Mn Sb Te
1 1 1 2
direct
0.000 0.000 0.000
0.500 0.500 0.500
0.500 0.500 0.000
0.000 0.500 0.500
0.500 0.000 0.500
```

[11]
Below is a relaxed Hf2HPdN crystal, with properties calculated at the GGA-PBE level.

As for the space group: No. 123. The value obtained for the volume is 13.4 A^3/atom. Its calculated total energy is -38.89 eV per cell.

Structure (POSCAR):
```
Hf2HPdN
1.0
4.565 0.000 0.000
0.000 4.565 0.000
0.000 0.000 3.214
Hf H Pd N
2 1 1 1
direct
0.000 0.500 0.000
0.500 0.000 0.000
0.000 0.000 0.500
0.500 0.500 0.500
0.000 0.000 0.000
```

[12]
Below is a relaxed Ni2Pt crystal, with properties calculated at the GGA-PBE level.

As for the space group: No. 189. As for the energy relative to the elements: 0.035 eV per atom. The value obtained for the volume is 13.0 A^3/atom.

Structure (POSCAR):
```
Ni2Pt
1.0
7.147 0.000 0.000
-3.574 6.190 0.000
0.000 0.000 2.650
Ni Pt
6 3
direct
0.000 0.304 0.000
0.000 0.635 0.500
0.304 0.000 0.000
0.365 0.365 0.500
0.635 0.000 0.500
0.696 0.696 0.000
0.000 0.000 0.500
0.333 0.667 0.000
0.667 0.333 0.000
```

[13]
Below is a relaxed Th2BS6 crystal, with properties calculated at the GGA-PBE level.

As for the space group: No. 12. The value obtained for the volume is 23.6 A^3/atom. Its calculated total energy is -56.85 eV per cell.

Structure (POSCAR):
```
Th2BS6
1.0
4.866 -2.046 0.000
4.866 2.046 0.000
-4.821 0.000 10.666
Th B S
2 1 6
direct
0.184 0.184 0.306
0.816 0.816 0.694
0.500 0.500 0.000
0.141 0.141 0.533
0.316 0.316 0.900
0.473 0.473 0.272
0.527 0.527 0.728
0.684 0.684 0.100
0.859 0.859 0.467
```

[14]
Below is a relaxed CaPN2O crystal, with properties calculated at the GGA-PBE level.

As for the space group: No. 123. The value obtained for the volume is 9.5 A^3/atom. Its calculated total energy is -32.39 eV per cell.

Structure (POSCAR):
```
CaPN2O
1.0
3.422 0.000 0.000
0.000 3.422 0.000
0.000 0.000 4.073
Ca P N O
1 1 2 1
direct
0.000 0.000 0.000
0.500 0.500 0.500
0.000 0.500 0.500
0.500 0.000 0.500
0.500 0.500 0.000
```

[15]
Below is a relaxed SnAsSe crystal, with properties calculated at the GGA-PBE level.

As for the space group: No. 14. For the distance to the lowest polymorph of the same formula, the calculation gives 22 meV/atom. The value obtained for the volume is 32.3 A^3/atom.

Structure (POSCAR):
```
SnAsSe
1.0
8.583 0.000 0.000
0.000 6.747 0.000
-3.158 0.000 6.701
Sn As Se
4 4 4
direct
0.161 0.183 0.377
0.161 0.317 0.877
0.839 0.683 0.123
0.839 0.817 0.623
0.109 0.618 0.623
0.109 0.882 0.123
0.891 0.118 0.877
0.891 0.382 0.377
0.347 0.100 0.751
0.347 0.400 0.251
0.653 0.600 0.749
0.653 0.900 0.249
```

[16]
Below is a relaxed OsRu2Br crystal, with properties calculated at the GGA-PBE level.

As for the space group: No. 123. For the distance to the lowest polymorph of the same formula, the calculation gives 733 meV/atom. The value obtained for the volume is 15.2 A^3/atom.

Structure (POSCAR):
```
OsRu2Br
1.0
3.980 0.000 0.000
0.000 3.980 0.000
0.000 0.000 3.851
Os Ru Br
1 2 1
direct
0.000 0.000 0.000
0.000 0.500 0.500
0.500 0.000 0.500
0.500 0.500 0.000
```

[17]
Below is a relaxed HgAuBr2 crystal, with properties calculated at the GGA-PBE level.

As for the space group: No. 225. For the distance to the lowest polymorph of the same formula, the calculation gives 371 meV/atom. The value obtained for the volume is 24.7 A^3/atom.

Structure (POSCAR):
```
HgAuBr2
1.0
7.339 0.000 0.000
0.000 7.339 0.000
0.000 0.000 7.339
Hg Au Br
4 4 8
direct
0.000 0.000 0.000
0.000 0.500 0.500
0.500 0.000 0.500
0.500 0.500 0.000
0.000 0.000 0.500
0.000 0.500 0.000
0.500 0.000 0.000
0.500 0.500 0.500
0.250 0.250 0.250
0.250 0.250 0.750
0.250 0.750 0.250
0.250 0.750 0.750
0.750 0.250 0.250
0.750 0.250 0.750
0.750 0.750 0.250
0.750 0.750 0.750
```

[18]
Below is a relaxed CaMn2Rh crystal, with properties calculated at the GGA-PBE level.

As for the space group: No. 47. As for the energy relative to the elements: 0.452 eV per atom. The value obtained for the volume is 16.7 A^3/atom.

Structure (POSCAR):
```
CaMn2Rh
1.0
2.736 0.000 0.000
0.000 4.171 0.000
0.000 0.000 5.867
Ca Mn Rh
1 2 1
direct
0.000 0.000 0.000
0.500 0.500 0.339
0.500 0.500 0.661
0.000 0.000 0.500
```

[19]
Below is a relaxed CeTlTc2O8 crystal, with properties calculated at the GGA-PBE level.

As for the space group: No. 147. The value obtained for the volume is 20.9 A^3/atom. Its calculated total energy is -89.77 eV per cell.

Structure (POSCAR):
```
CeTlTc2O8
1.0
6.075 0.000 0.000
-3.037 5.261 0.000
0.000 0.000 7.837
Ce Tl Tc O
1 1 2 8
direct
0.000 0.000 0.000
0.000 0.000 0.500
0.333 0.667 0.262
0.667 0.333 0.738
0.171 0.344 0.181
0.173 0.829 0.181
0.333 0.667 0.485
0.344 0.173 0.819
0.656 0.827 0.181
0.667 0.333 0.515
0.827 0.171 0.819
0.829 0.656 0.819
```

[20]
Below is a relaxed LaPm5Ga3 crystal, with properties calculated at the GGA-PBE level.

As for the space group: No. 63. As for the energy relative to the elements: -0.368 eV per atom. The value obtained for the volume is 27.7 A^3/atom.

Structure (POSCAR):
```
LaPm5Ga3
1.0
7.995 -4.575 0.000
7.995 4.575 0.000
0.000 0.000 6.816
La Pm Ga
2 10 6
direct
0.000 0.000 0.000
0.000 0.000 0.500
0.010 0.668 0.250
0.318 0.318 0.000
0.318 0.318 0.500
0.332 0.990 0.250
0.341 0.659 0.750
0.659 0.341 0.250
0.668 0.010 0.750
0.682 0.682 0.000
0.682 0.682 0.500
0.990 0.332 0.750
0.002 0.661 0.750
0.336 0.664 0.250
0.339 0.998 0.750
0.661 0.002 0.250
0.664 0.336 0.750
0.998 0.339 0.250
```

[21]
Below is a relaxed KAlI3 crystal, with properties calculated at the GGA-PBE level.

As for the space group: No. 221. For the distance to the lowest polymorph of the same formula, the calculation gives 726 meV/atom. The value obtained for the volume is 55.7 A^3/atom.

Structure (POSCAR):
```
KAlI3
1.0
6.530 0.000 0.000
0.000 6.530 0.000
0.000 0.000 6.530
K Al I
1 1 3
direct
0.000 0.000 0.000
0.500 0.500 0.500
0.000 0.000 0.500
0.000 0.500 0.000
0.500 0.000 0.000
```

[22]
Below is a relaxed Sm6Y3Ho crystal, with properties calculated at the GGA-PBE level.

As for the space group: No. 36. As for the energy relative to the elements: 0.126 eV per atom. For the distance to the lowest polymorph of the same formula, the calculation gives 0 meV/atom. The value obtained for the volume is 33.4 A^3/atom.

Structure (POSCAR):
```
Sm6Y3Ho
1.0
4.917 -10.638 0.000
4.917 10.638 0.000
0.000 0.000 6.392
Sm Y Ho
12 6 2
direct
0.017 0.983 0.500
0.105 0.544 0.006
0.257 0.378 0.766
0.300 0.700 0.541
0.378 0.257 0.266
0.456 0.895 0.006
0.544 0.105 0.506
0.622 0.743 0.766
0.700 0.300 0.041
0.743 0.622 0.266
0.895 0.456 0.506
0.983 0.017 0.000
0.043 0.293 0.338
0.293 0.043 0.838
0.421 0.579 0.245
0.579 0.421 0.745
0.707 0.957 0.338
0.957 0.707 0.838
0.161 0.839 0.315
0.839 0.161 0.815
```

[23]
Below is a relaxed ErTh3S crystal, with properties calculated at the GGA-PBE level.

As for the space group: No. 221. The value obtained for the volume is 31.8 A^3/atom. Its calculated total energy is -33.78 eV per cell.

Structure (POSCAR):
```
ErTh3S
1.0
5.420 0.000 0.000
0.000 5.420 0.000
0.000 0.000 5.420
Er Th S
1 3 1
direct
0.000 0.000 0.000
0.000 0.500 0.500
0.500 0.000 0.500
0.500 0.500 0.000
0.500 0.500 0.500
```

[24]
Below is a relaxed FeTc2AuN crystal, with properties calculated at the GGA-PBE level.

As for the space group: No. 123. The value obtained for the volume is 12.9 A^3/atom. Its calculated total energy is -40.33 eV per cell.

Structure (POSCAR):
```
FeTc2AuN
1.0
4.068 0.000 0.000
0.000 4.068 0.000
0.000 0.000 3.910
Fe Tc Au N
1 2 1 1
direct
0.000 0.000 0.000
0.000 0.500 0.500
0.500 0.000 0.500
0.500 0.500 0.000
0.000 0.000 0.500
```

[25]
Below is a relaxed K2CeNiS4 crystal, with properties calculated at the GGA-PBE level.

As for the space group: No. 82. The value obtained for the volume is 25.8 A^3/atom. Its calculated total energy is -77.95 eV per cell.

Structure (POSCAR):
```
K2CeNiS4
1.0
7.231 0.000 0.000
0.000 7.231 0.000
0.000 0.000 7.897
K Ce Ni S
4 2 2 8
direct
0.000 0.000 0.000
0.000 0.500 0.250
0.500 0.000 0.750
0.500 0.500 0.500
0.000 0.000 0.500
0.500 0.500 0.000
0.000 0.500 0.750
0.500 0.000 0.250
0.171 0.256 0.686
0.244 0.671 0.814
0.256 0.829 0.314
0.329 0.244 0.186
0.671 0.756 0.186
0.744 0.171 0.314
0.756 0.329 0.814
0.829 0.744 0.686
```